VASP calculation (PBE-GGA) on a relaxed structure of SmPu2TaN4.

Unit cell a=3.3769 b=11.9226 c=12.3220 alpha=90.00 beta=90.00 gamma=90.00
With the nearest neighbours (Å) after each atom.
Space group Cmcm (No. 63)
Unique sites:
1 Sm 0.0000 0.1105 0.2500 [4 per cell]  6 N 2.55-2.71
2 Pu 0.0000 0.3677 0.0329 [8 per cell]  5 N 2.35-2.59
3 Ta 0.0000 0.1537 0.7500 [4 per cell]  4 N 1.98-2.10
4 N 0.0000 0.0000 0.0000 [4 per cell]  4 Pu 2.35
5 N 0.0000 0.2631 0.6294 [8 per cell]  1 Ta 1.98
6 N 0.0000 0.4507 0.2500 [4 per cell]  2 Ta 2.10

=====

VASP calculation (PBE-GGA) on a relaxed structure of Th4Si6Os7.

Unit cell a=8.4551 b=8.4551 c=8.4551 alpha=90.00 beta=90.00 gamma=90.00
With the nearest neighbours (Å) after each atom.
Space group Im-3m (No. 229)
Unique sites:
1 Th 0.2500 0.2500 0.2500 [8 per cell]  6 Os 2.99, 6 Si 3.05
2 Si 0.0000 0.0000 0.3238 [12 per cell]  5 Os 2.59-2.74
3 Os 0.0000 0.0000 0.0000 [2 per cell]  6 Si 2.74
4 Os 0.0000 0.2500 0.5000 [12 per cell]  4 Si 2.59

=====

VASP calculation (PBE-GGA) on a relaxed structure of Cu3S2Br.

Unit cell a=6.5922 b=11.5248 c=6.4989 alpha=90.00 beta=108.24 gamma=90.00
With the nearest neighbours (Å) after each atom.
Space group Cc (No. 9)
Unique sites:
1 Cu 0.0000 0.0827 0.0000 [4 per cell]  3 S 2.23-2.24
2 Cu 0.0576 0.2319 0.5010 [4 per cell]  3 S 2.24-2.25
3 Cu 0.0724 0.3946 0.0396 [4 per cell]  2 S 2.21-2.22
4 S 0.4138 0.2549 0.6402 [4 per cell]  4 Cu 2.22-2.25
5 S 0.4225 0.4169 0.1389 [4 per cell]  4 Cu 2.21-2.24
6 Br 0.4166 0.0825 0.1378 [4 per cell]  4 Cu 2.50-2.61

=====

VASP calculation (PBE-GGA) on a relaxed structure of AcSm2YSe6.

Unit cell a=7.4717 b=7.4717 c=19.8141 alpha=90.00 beta=90.00 gamma=120.00
With the nearest neighbours (Å) after each atom.
Space group R3 (No. 146, hexagonal axes)
Unique sites:
1 Ac 0.0000 0.0000 0.0000 [3 per cell]  6 Se 3.06-3.18
2 Sm 0.0000 0.0000 0.2877 [3 per cell]  6 Se 2.91-2.97
3 Sm 0.0000 0.0000 0.7950 [3 per cell]  6 Se 2.88-2.97
4 Y 0.0000 0.0000 0.4886 [3 per cell]  6 Se 2.89-2.91
5 Se 0.0272 0.3552 0.5564 [9 per cell]  1 Y 2.89, 2 Sm 2.91-2.97, 1 Ac 3.18
6 Se 0.0289 0.6349 0.0570 [9 per cell]  2 Sm 2.88-2.97, 1 Y 2.91, 1 Ac 3.06

=====

VASP calculation (PBE-GGA) on a relaxed structure of Li2SiRh.

Unit cell a=2.7858 b=4.1343 c=4.7447 alpha=90.00 beta=90.00 gamma=90.00
With the nearest neighbours (Å) after each atom.
Space group Pmmm (No. 47)
Unique sites:
1 Li 0.0000 0.0000 0.2415 [2 per cell]  2 Li 2.29-2.45
2 Si 0.5000 0.5000 0.5000 [1 per cell]  2 Rh 2.37
3 Rh 0.5000 0.5000 0.0000 [1 per cell]  2 Si 2.37

=====

VASP calculation (PBE-GGA) on a relaxed structure of NaPr2NpS4.

Unit cell a=7.0039 b=4.0532 c=7.0347 alpha=90.00 beta=109.61 gamma=90.00
With the nearest neighbours (Å) after each atom.
Space group P2/m (No. 10)
Unique sites:
1 Na 0.0000 0.0000 0.0000 [1 per cell]  6 S 2.85
2 Pr 0.5000 0.0000 0.5000 [1 per cell]  6 S 2.87-2.89
3 Pr 0.5000 0.5000 0.0000 [1 per cell]  6 S 2.91-2.92
4 Np 0.0000 0.5000 0.5000 [1 per cell]  6 S 2.80-2.82
5 S 0.2373 0.0000 0.7414 [2 per cell]  2 Np 2.80, 1 Na 2.85, 3 Pr 2.89-2.92
6 S 0.2444 0.5000 0.2525 [2 per cell]  1 Np 2.82, 2 Na 2.85, 3 Pr 2.87-2.91

=====

One value per record, in order, for density of states at the Fermi level: 42.48, 16.88, 19.48, 0.00, 1.06, 12.46 states/eV per cell.
One value per record, in order, for DFT total energy: -10.900, -8.918, -3.941, -5.968, -4.459, -6.743 eV per atom.
One value per record, in order, for formation energy (no corrections): -1.08, -0.63, -0.24, -1.88, -0.31, -1.70 eV per atom.